Entry 1:
4
Lattice="0.000 3.035 3.035 3.035 0.000 3.035 3.035 3.035 0.000" Properties=species:S:1:pos:R:3 comment="PBE-GGA FeCuOsAu, relaxed" ef_ev_per_atom=0.41 pbc="T T T"
Fe 0.000 0.000 0.000
Cu 3.035 3.035 3.035
Os 1.517 1.517 1.517
Au 4.552 4.552 4.552

=====

Entry 2:
First-principles (PBE-GGA) data for a relaxed FeCuPbAu crystal, as listed in OQMD via LeMat-Bulk.

Cell and atoms, written as extended XYZ:
```
4
Lattice="0.000 3.249 3.249 3.249 0.000 3.249 3.249 3.249 0.000" Properties=species:S:1:pos:R:3 pbc="T T T"
Fe 0.000 0.000 0.000
Cu 3.249 3.249 3.249
Pb 1.624 1.624 1.624
Au 4.873 4.873 4.873
```

=====

Entry 3:
First-principles (PBE-GGA) data for a relaxed FeCuSnAu crystal, as listed in OQMD via LeMat-Bulk.

Cell and atoms, written as extended XYZ:
```
4
Lattice="0.000 3.174 3.174 3.174 0.000 3.174 3.174 3.174 0.000" Properties=species:S:1:pos:R:3 pbc="T T T"
Fe 0.000 0.000 0.000
Cu 3.174 3.174 3.174
Sn 1.587 1.587 1.587
Au 4.761 4.761 4.761
```

=====

Entry 4:
First-principles (PBE-GGA) data for a relaxed TlFeCuAu crystal, as listed in OQMD via LeMat-Bulk.

Cell and atoms, written as extended XYZ:
```
4
Lattice="0.000 3.213 3.213 3.213 0.000 3.213 3.213 3.213 0.000" Properties=species:S:1:pos:R:3 pbc="T T T"
Tl 0.000 0.000 0.000
Fe 4.819 4.819 4.819
Cu 1.606 1.606 1.606
Au 3.213 3.213 3.213
```

=====

Entry 5:
First-principles (PBE-GGA) data for a relaxed GaCu2Au crystal, as listed in OQMD via LeMat-Bulk.

Cell and atoms, written as extended XYZ:
```
8
Lattice="4.334 0.000 0.000 0.000 5.454 0.000 0.000 0.000 4.823" Properties=species:S:1:pos:R:3 pbc="T T T"
Ga 1.084 1.363 0.912
Ga 3.251 4.090 3.911
Cu 1.084 2.753 3.140
Cu 1.084 5.428 3.140
Cu 3.251 0.026 1.683
Cu 3.251 2.701 1.683
Au 1.084 4.090 0.728
Au 3.251 1.363 4.095
```

=====

Entry 6:
First-principles (PBE-GGA) data for a relaxed GaCu6Au crystal, as listed in OQMD via LeMat-Bulk.

Cell and atoms, written as extended XYZ:
```
8
Lattice="5.307 0.000 0.000 -2.653 4.596 0.000 0.000 0.000 4.333" Properties=species:S:1:pos:R:3 pbc="T T T"
Ga 0.000 0.000 0.000
Cu -1.280 2.325 0.000
Cu 0.000 1.543 2.167
Cu -1.317 3.824 2.167
Cu 1.280 2.325 0.000
Cu 0.000 4.542 0.000
Cu 1.317 3.824 2.167
Au 2.653 1.532 2.167
```

=====

Entry 7:
First-principles (PBE-GGA) data for a relaxed Ga4CuAu crystal, as listed in OQMD via LeMat-Bulk.

Cell and atoms, written as extended XYZ:
```
6
Lattice="4.223 0.000 0.000 0.000 4.223 0.000 0.000 0.000 6.068" Properties=species:S:1:pos:R:3 pbc="T T T"
Ga 0.000 2.111 1.398
Ga 0.000 2.111 4.669
Ga 2.111 0.000 1.398
Ga 2.111 0.000 4.669
Cu 0.000 0.000 0.000
Au 2.111 2.111 3.034
```

=====

Entry 8:
First-principles (PBE-GGA) data for a relaxed GaCu2Au crystal, as listed in OQMD via LeMat-Bulk.

Cell and atoms, written as extended XYZ:
```
4
Lattice="0.000 3.061 3.061 3.061 0.000 3.061 3.061 3.061 0.000" Properties=species:S:1:pos:R:3 pbc="T T T"
Ga 0.000 0.000 0.000
Cu 3.061 3.061 3.061
Cu 4.592 4.592 4.592
Au 1.531 1.531 1.531
```

=====

Short version: electronic total energy = -6.2194; -4.4359; -4.6964; -4.0982; -3.5559; -3.6442; -3.3412; -3.5102 eV per atom, in the order given.